KLa2Ta | SCAN | PBEsol geometry

Values from the calculation:
distance to the lowest polymorph of the same formula	0.00	kcal/mol of atoms
formation energy	0.599	eV/atom
calculated density	6549	kg/m³

Cell: 3.3989 3.3989 37.8554 Å, 90.00 90.00 120.00°
Space group R-3m (No. 166, hexagonal axes)
Unique sites:
K: 0.0000 0.0000 0.0000 [3 per cell]
La: 0.0000 0.0000 0.2327 [6 per cell]
Ta: 0.0000 0.0000 0.5000 [3 per cell]